Entry w
# InGaCo3 PBE-GGA relaxed
# SG ... Pm-3m, No. 221
# DOS at the Fermi energy ... 6.765 states/eV/cell
# Total moment ... 4.9 μB per formula unit
data_InGaCo3
_chemical_formula_sum 'In1 Ga1 Co3'
_space_group_name_H-M_alt 'P 1'
_space_group_IT_number 1
_cell_length_a 4.710
_cell_length_b 4.710
_cell_length_c 4.710
_cell_angle_alpha 90.00
_cell_angle_beta 90.00
_cell_angle_gamma 90.00
loop_
_space_group_symop_operation_xyz
'x,y,z'
loop_
_atom_site_label
_atom_site_type_symbol
_atom_site_fract_x
_atom_site_fract_y
_atom_site_fract_z
Co1 Co 0.000 0.000 0.500
Co2 Co 0.500 0.000 0.000
Co3 Co 0.000 0.500 0.000
Ga1 Ga 0.500 0.500 0.500
In1 In 0.000 0.000 0.000



Entry x
# InGaCo3 PBE-GGA relaxed
# SG ... Pm-3m, No. 221
# DOS at the Fermi energy ... 5.876 states/eV/cell
# Total moment ... 2.7 μB per formula unit
data_InGaCo3
_chemical_formula_sum 'In1 Ga1 Co3'
_space_group_name_H-M_alt 'P 1'
_space_group_IT_number 1
_cell_length_a 4.346
_cell_length_b 4.346
_cell_length_c 4.346
_cell_angle_alpha 90.00
_cell_angle_beta 90.00
_cell_angle_gamma 90.00
loop_
_space_group_symop_operation_xyz
'x,y,z'
loop_
_atom_site_label
_atom_site_type_symbol
_atom_site_fract_x
_atom_site_fract_y
_atom_site_fract_z
Ga1 Ga 0.000 0.000 0.000
Co1 Co 0.000 0.000 0.500
Co2 Co 0.500 0.000 0.000
Co3 Co 0.000 0.500 0.000
In1 In 0.500 0.500 0.500



Q: Which of them is the most stable? A: entry x.



Entry w
# RbInGaCo2 PBE-GGA relaxed
# SG ... P4/mmm, No. 123
# DOS at the Fermi energy ... 7.545 states/eV/cell
# Total moment ... 2.8 μB per formula unit
data_RbInGaCo2
_chemical_formula_sum 'Rb1 In1 Ga1 Co2'
_space_group_name_H-M_alt 'P 1'
_space_group_IT_number 1
_cell_length_a 4.884
_cell_length_b 6.129
_cell_length_c 4.884
_cell_angle_alpha 90.00
_cell_angle_beta 90.00
_cell_angle_gamma 90.00
loop_
_space_group_symop_operation_xyz
'x,y,z'
loop_
_atom_site_label
_atom_site_type_symbol
_atom_site_fract_x
_atom_site_fract_y
_atom_site_fract_z
Co1 Co 0.000 0.000 0.500
Co2 Co 0.500 0.000 0.000
In1 In 0.000 0.500 0.000
Rb1 Rb 0.000 0.000 0.000
Ga1 Ga 0.500 0.500 0.500



Entry x
# RbInGaCo2 PBE-GGA relaxed
# SG ... P4/mmm, No. 123
# DOS at the Fermi energy ... 6.080 states/eV/cell
# Total moment ... 3.1 μB per formula unit
data_RbInGaCo2
_chemical_formula_sum 'Rb1 In1 Ga1 Co2'
_space_group_name_H-M_alt 'P 1'
_space_group_IT_number 1
_cell_length_a 4.873
_cell_length_b 4.873
_cell_length_c 5.799
_cell_angle_alpha 90.00
_cell_angle_beta 90.00
_cell_angle_gamma 90.00
loop_
_space_group_symop_operation_xyz
'x,y,z'
loop_
_atom_site_label
_atom_site_type_symbol
_atom_site_fract_x
_atom_site_fract_y
_atom_site_fract_z
Co1 Co 0.000 0.500 0.000
Co2 Co 0.500 0.000 0.000
Ga1 Ga 0.500 0.500 0.500
Rb1 Rb 0.000 0.000 0.500
In1 In 0.000 0.000 0.000



Q: Which of them is the most stable? A: entry x.



Entry w
# InGaCoS4 PBE-GGA relaxed
# SG ... Imma, No. 74
# DOS at the Fermi energy ... 5.754 states/eV/cell
# Total moment ... 0.0 μB per formula unit
data_InGaCoS4
_chemical_formula_sum 'In2 Ga2 Co2 S8'
_space_group_name_H-M_alt 'P 1'
_space_group_IT_number 1
_cell_length_a 7.218
_cell_length_b 7.236
_cell_length_c 7.236
_cell_angle_alpha 61.46
_cell_angle_beta 60.08
_cell_angle_gamma 60.08
loop_
_space_group_symop_operation_xyz
'x,y,z'
loop_
_atom_site_label
_atom_site_type_symbol
_atom_site_fract_x
_atom_site_fract_y
_atom_site_fract_z
S1 S 0.254 0.789 0.703
S2 S 0.272 0.228 0.728
S3 S 0.746 0.797 0.711
S4 S 0.772 0.228 0.728
S5 S 0.746 0.211 0.297
S6 S 0.228 0.772 0.272
S7 S 0.728 0.772 0.272
S8 S 0.254 0.203 0.289
Ga1 Ga 0.629 0.621 0.121
Ga2 Ga 0.371 0.379 0.879
Co1 Co 0.500 0.000 0.500
Co2 Co 0.000 0.000 0.500
In1 In 0.000 0.000 0.000
In2 In 0.000 0.500 0.500



Entry x
# InGaCoS4 PBE-GGA relaxed
# SG ... P3m1, No. 156
# DOS at the Fermi energy ... 1.366 states/eV/cell
# Total moment ... 1.0 μB per formula unit
data_InGaCoS4
_chemical_formula_sum 'In1 Ga1 Co1 S4'
_space_group_name_H-M_alt 'P 1'
_space_group_IT_number 1
_cell_length_a 3.689
_cell_length_b 3.689
_cell_length_c 12.841
_cell_angle_alpha 90.00
_cell_angle_beta 90.00
_cell_angle_gamma 120.00
loop_
_space_group_symop_operation_xyz
'x,y,z'
loop_
_atom_site_label
_atom_site_type_symbol
_atom_site_fract_x
_atom_site_fract_y
_atom_site_fract_z
Ga1 Ga 0.667 0.333 0.234
S1 S 0.667 0.333 0.868
S2 S 0.667 0.333 0.410
S3 S 0.000 0.000 0.575
S4 S 0.000 0.000 0.154
Co1 Co 0.333 0.667 0.491
In1 In 0.000 0.000 0.767



Q: Which of them is the most stable? A: entry x.



Entry w
# TlInGa2Co PBE-GGA relaxed
# SG ... P4/mmm, No. 123
# DOS at the Fermi energy ... 3.387 states/eV/cell
# Total moment ... 0.0 μB per formula unit
data_TlInGa2Co
_chemical_formula_sum 'Tl1 In1 Ga2 Co1'
_space_group_name_H-M_alt 'P 1'
_space_group_IT_number 1
_cell_length_a 4.652
_cell_length_b 4.652
_cell_length_c 5.121
_cell_angle_alpha 90.00
_cell_angle_beta 90.00
_cell_angle_gamma 90.00
loop_
_space_group_symop_operation_xyz
'x,y,z'
loop_
_atom_site_label
_atom_site_type_symbol
_atom_site_fract_x
_atom_site_fract_y
_atom_site_fract_z
Tl1 Tl 0.000 0.000 0.500
Ga1 Ga 0.000 0.500 0.000
Ga2 Ga 0.500 0.000 0.000
Co1 Co 0.000 0.000 0.000
In1 In 0.500 0.500 0.500



Entry x
# TlInGa2Co PBE-GGA relaxed
# SG ... P4/mmm, No. 123
# DOS at the Fermi energy ... 2.826 states/eV/cell
# Total moment ... 0.0 μB per formula unit
data_TlInGa2Co
_chemical_formula_sum 'Tl1 In1 Ga2 Co1'
_space_group_name_H-M_alt 'P 1'
_space_group_IT_number 1
_cell_length_a 4.661
_cell_length_b 4.661
_cell_length_c 5.025
_cell_angle_alpha 90.00
_cell_angle_beta 90.00
_cell_angle_gamma 90.00
loop_
_space_group_symop_operation_xyz
'x,y,z'
loop_
_atom_site_label
_atom_site_type_symbol
_atom_site_fract_x
_atom_site_fract_y
_atom_site_fract_z
Ga1 Ga 0.500 0.000 0.000
Ga2 Ga 0.000 0.500 0.000
Co1 Co 0.000 0.000 0.000
Tl1 Tl 0.500 0.500 0.500
In1 In 0.000 0.000 0.500



Q: Which of them is the most stable? A: entry x.



Entry w
# GaCo2Ir2 PBE-GGA relaxed
# SG ... P4/mbm, No. 127
# DOS at the Fermi energy ... 11.685 states/eV/cell
# Total moment ... 4.1 μB per formula unit
data_GaCo2Ir2
_chemical_formula_sum 'Ga2 Co4 Ir4'
_space_group_name_H-M_alt 'P 1'
_space_group_IT_number 1
_cell_length_a 7.179
_cell_length_b 7.179
_cell_length_c 2.746
_cell_angle_alpha 90.00
_cell_angle_beta 90.00
_cell_angle_gamma 90.00
loop_
_space_group_symop_operation_xyz
'x,y,z'
loop_
_atom_site_label
_atom_site_type_symbol
_atom_site_fract_x
_atom_site_fract_y
_atom_site_fract_z
Co1 Co 0.665 0.835 0.500
Co2 Co 0.165 0.665 0.500
Co3 Co 0.835 0.335 0.500
Co4 Co 0.335 0.165 0.500
Ir1 Ir 0.133 0.367 0.000
Ir2 Ir 0.367 0.867 0.000
Ir3 Ir 0.633 0.133 0.000
Ir4 Ir 0.867 0.633 0.000
Ga1 Ga 0.000 0.000 0.000
Ga2 Ga 0.500 0.500 0.000



Entry x
# GaCo2Ir2 PBE-GGA relaxed
# SG ... P4/mbm, No. 127
# DOS at the Fermi energy ... 10.018 states/eV/cell
# Total moment ... 3.0 μB per formula unit
data_GaCo2Ir2
_chemical_formula_sum 'Ga2 Co4 Ir4'
_space_group_name_H-M_alt 'P 1'
_space_group_IT_number 1
_cell_length_a 7.110
_cell_length_b 7.110
_cell_length_c 2.724
_cell_angle_alpha 90.00
_cell_angle_beta 90.00
_cell_angle_gamma 90.00
loop_
_space_group_symop_operation_xyz
'x,y,z'
loop_
_atom_site_label
_atom_site_type_symbol
_atom_site_fract_x
_atom_site_fract_y
_atom_site_fract_z
Ir1 Ir 0.826 0.326 0.500
Ir2 Ir 0.326 0.174 0.500
Ir3 Ir 0.174 0.674 0.500
Ir4 Ir 0.674 0.826 0.500
Co1 Co 0.121 0.379 0.000
Co2 Co 0.879 0.621 0.000
Co3 Co 0.621 0.121 0.000
Co4 Co 0.379 0.879 0.000
Ga1 Ga 0.000 0.000 0.000
Ga2 Ga 0.500 0.500 0.000



Q: Which of them is the most stable? A: entry w.



Entry w
# Ga2CoIr2 PBE-GGA relaxed
# SG ... P4/mbm, No. 127
# DOS at the Fermi energy ... 15.296 states/eV/cell
# Total moment ... 2.1 μB per formula unit
data_Ga2CoIr2
_chemical_formula_sum 'Ga4 Co2 Ir4'
_space_group_name_H-M_alt 'P 1'
_space_group_IT_number 1
_cell_length_a 7.121
_cell_length_b 7.121
_cell_length_c 2.937
_cell_angle_alpha 90.00
_cell_angle_beta 90.00
_cell_angle_gamma 90.00
loop_
_space_group_symop_operation_xyz
'x,y,z'
loop_
_atom_site_label
_atom_site_type_symbol
_atom_site_fract_x
_atom_site_fract_y
_atom_site_fract_z
Ga1 Ga 0.656 0.844 0.500
Ga2 Ga 0.844 0.344 0.500
Ga3 Ga 0.156 0.656 0.500
Ga4 Ga 0.344 0.156 0.500
Co1 Co 0.000 0.000 0.000
Co2 Co 0.500 0.500 0.000
Ir1 Ir 0.144 0.356 0.000
Ir2 Ir 0.356 0.856 0.000
Ir3 Ir 0.644 0.144 0.000
Ir4 Ir 0.856 0.644 0.000



Entry x
# Ga2CoIr2 PBE-GGA relaxed
# SG ... P4/mbm, No. 127
# DOS at the Fermi energy ... 7.037 states/eV/cell
# Total moment ... 2.1 μB per formula unit
data_Ga2CoIr2
_chemical_formula_sum 'Ga4 Co2 Ir4'
_space_group_name_H-M_alt 'P 1'
_space_group_IT_number 1
_cell_length_a 7.173
_cell_length_b 7.173
_cell_length_c 2.857
_cell_angle_alpha 90.00
_cell_angle_beta 90.00
_cell_angle_gamma 90.00
loop_
_space_group_symop_operation_xyz
'x,y,z'
loop_
_atom_site_label
_atom_site_type_symbol
_atom_site_fract_x
_atom_site_fract_y
_atom_site_fract_z
Ir1 Ir 0.159 0.659 0.500
Ir2 Ir 0.841 0.341 0.500
Ir3 Ir 0.659 0.841 0.500
Ir4 Ir 0.341 0.159 0.500
Ga1 Ga 0.360 0.860 0.000
Ga2 Ga 0.140 0.360 0.000
Ga3 Ga 0.860 0.640 0.000
Ga4 Ga 0.640 0.140 0.000
Co1 Co 0.000 0.000 0.000
Co2 Co 0.500 0.500 0.000



Q: Which of them is the most stable? A: entry x.